# 1
PmZnH4Pd6: relaxed, PBE.

Computed properties:
As for the symmetry: P6/mmm (191). For the raw total energy, the calculation gives -4.4681 eV/atom.

Lattice parameters (Å, degrees): 5.542 5.542 5.967 90.00 90.00 120.00
Positions (direct):
Pd1 0.500 0.000 0.729
Pd2 0.500 0.000 0.271
Pd3 0.500 0.500 0.271
Pd4 0.000 0.500 0.729
Pd5 0.500 0.500 0.729
Pd6 0.000 0.500 0.271
H1 0.333 0.667 0.152
H2 0.667 0.333 0.152
H3 0.667 0.333 0.848
H4 0.333 0.667 0.848
Zn1 0.000 0.000 0.500
Pm1 0.000 0.000 0.000


# 2
PmZnHPd2: relaxed, PBE.

Computed properties:
As for the symmetry: Cmcm (63). For the raw total energy, the calculation gives -4.5835 eV/atom.

Lattice parameters (Å, degrees): 3.904 5.798 7.518 90.00 90.00 109.68
Positions (direct):
H1 0.000 0.000 0.000
H2 0.000 0.000 0.500
Pd1 0.845 0.691 0.446
Pd2 0.155 0.309 0.946
Pd3 0.155 0.309 0.554
Pd4 0.845 0.691 0.054
Pm1 0.552 0.104 0.250
Pm2 0.448 0.896 0.750
Zn1 0.271 0.542 0.250
Zn2 0.729 0.458 0.750


# 3
Pr2HPd: relaxed, PBE.

Computed properties:
As for the symmetry: P4/mmm (123). The relative energy among the computed polymorphs comes out at 0.31 eV/f.u.

Lattice parameters (Å, degrees): 3.411 3.411 7.180 90.00 90.00 90.00
Positions (direct):
Pr1 0.000 0.000 0.767
Pr2 0.000 0.000 0.233
Pd1 0.500 0.500 0.500
H1 0.500 0.500 0.000


# 4
PrH3Pd2: relaxed, PBE.

Computed properties:
As for the symmetry: Cc (9). The relative energy among the computed polymorphs comes out at 0.00 eV/f.u.

Lattice parameters (Å, degrees): 5.344 5.458 5.458 90.02 101.97 101.97
Positions (direct):
Pr1 0.242 0.319 0.711
Pr2 0.742 0.711 0.319
H1 0.758 0.256 0.394
H2 0.854 0.065 0.837
H3 0.204 0.792 0.591
H4 0.354 0.837 0.065
H5 0.258 0.394 0.256
H6 0.704 0.591 0.792
Pd1 0.418 0.133 0.256
Pd2 0.024 0.766 0.881
Pd3 0.524 0.881 0.766
Pd4 0.918 0.256 0.133